1.
{
  "formula": "LuPuRu",
  "functional": "PBE",
  "state": "optimized geometry",
  "cell": [[-2.656, 0.685, 3.823], [-4.614, -0.911, -0.147], [-1.746, -3.688, 2.344]],
  "species": ["Pu", "Ru", "Lu"],
  "frac_coords": [[0.500, 0.500, 0.500], [0.250, 0.250, 0.250], [0.000, 0.000, 0.000]],
  "formation_enthalpy_0k_ev_per_fu": -0.22,
  "vol_a3_per_cell": 74
}

=====

2.
{
  "formula": "Pm4HoPu3S8",
  "functional": "PBE",
  "state": "optimized geometry",
  "cell": [[-5.479, 1.523, -5.552], [-5.786, -1.614, 5.267], [5.520, 5.449, 1.736]],
  "species": ["S", "S", "Pm", "Pm", "Pm", "Pu", "Ho", "S", "S", "S", "Pu", "S", "S", "Pu", "Pm", "S"],
  "frac_coords": [[0.747, 0.742, 0.494], [0.749, 0.741, 0.995], [0.500, 0.000, 0.000], [0.000, 0.000, 0.500], [0.000, 0.000, 0.000], [0.500, 0.500, 0.500], [0.000, 0.500, 0.000], [0.251, 0.259, 0.005], [0.246, 0.741, 0.491], [0.754, 0.259, 0.005], [0.000, 0.500, 0.500], [0.754, 0.259, 0.509], [0.253, 0.258, 0.506], [0.500, 0.500, 0.000], [0.500, 0.000, 0.500], [0.246, 0.741, 0.995]],
  "formation_energy_uncorrected_mev_per_atom": -1947,
  "vol_a3_per_cell": 358
}

=====

3.
{
  "formula": "Tb3Dy2Tl7",
  "functional": "PBE",
  "state": "optimized geometry",
  "cell": [[5.422, 0.000, 0.000], [0.000, 5.275, 0.000], [0.000, -2.637, 12.766]],
  "species": ["Tb", "Dy", "Dy", "Tl", "Tl", "Tb", "Tl", "Tl", "Tl", "Tb", "Tl", "Tl"],
  "frac_coords": [[0.500, 0.347, 0.693], [0.000, 0.848, 0.697], [0.000, 0.152, 0.303], [0.000, 0.424, 0.849], [0.500, 0.082, 0.163], [0.500, 0.653, 0.307], [0.000, 0.721, 0.442], [0.500, 0.918, 0.837], [0.000, 0.576, 0.151], [0.500, 0.500, 0.000], [0.000, 0.279, 0.558], [0.000, 0.000, 0.000]],
  "formation_enthalpy_0k_ev_per_fu": -1.09,
  "vol_a3_per_cell": 365
}

=====

4.
{
  "formula": "SrGeAs2O8",
  "functional": "PBE",
  "state": "optimized geometry",
  "cell": [[-3.193, -2.379, -2.765], [-1.882, -4.195, 1.534], [-7.704, 1.792, 3.106]],
  "species": ["O", "As", "O", "O", "O", "Ge", "O", "Sr", "O", "O", "As", "O"],
  "frac_coords": [[0.252, 0.862, 0.342], [0.760, 0.760, 0.719], [0.748, 0.456, 0.658], [0.456, 0.138, 0.658], [0.138, 0.748, 0.658], [0.500, 0.500, 0.500], [0.544, 0.252, 0.342], [0.000, 0.000, 0.000], [0.310, 0.310, 0.070], [0.862, 0.544, 0.342], [0.240, 0.240, 0.281], [0.690, 0.690, 0.930]],
  "formation_energy_uncorrected_mev_per_atom": -1526,
  "vol_a3_per_cell": 163
}

=====

5.
{
  "formula": "DyZnAu",
  "functional": "PBE",
  "state": "optimized geometry",
  "cell": [[-2.044, 1.764, -2.295], [-3.244, 0.342, 3.152], [3.172, 3.223, -0.349]],
  "species": ["Dy", "Zn", "Au"],
  "frac_coords": [[0.667, 0.667, 0.333], [0.167, 0.000, 0.000], [0.167, 0.333, 0.667]],
  "formation_enthalpy_0k_ev_per_fu": -1.96,
  "vol_a3_per_cell": 63
}

=====

6.
{
  "formula": "SrZnSn2Ir2",
  "functional": "PBE",
  "state": "optimized geometry",
  "cell": [[-4.635, -0.752, 0.870], [1.149, -2.884, 3.629], [-0.058, 4.696, 3.751]],
  "species": ["Sn", "Sn", "Zn", "Ir", "Sr", "Ir"],
  "frac_coords": [[0.500, 0.500, 0.252], [0.500, 0.500, 0.748], [0.000, 0.000, 0.000], [0.000, 0.500, 0.000], [0.000, 0.000, 0.500], [0.500, 0.000, 0.000]],
  "formation_enthalpy_0k_ev_per_fu": -1.10,
  "vol_a3_per_cell": 137
}

=====

7.
{
  "formula": "CsTe2BrN",
  "functional": "PBE",
  "state": "optimized geometry",
  "cell": [[-5.751, 4.399, -0.089], [-1.434, -2.013, -6.807], [-3.433, -4.447, 2.039]],
  "species": ["Cs", "N", "Te", "Te", "Br"],
  "frac_coords": [[0.000, 0.000, 0.000], [0.000, 0.000, 0.500], [0.000, 0.500, 0.000], [0.500, 0.000, 0.000], [0.500, 0.500, 0.500]],
  "formation_energy_uncorrected_mev_per_atom": 1435,
  "vol_a3_per_cell": 313
}

=====

8.
{
  "formula": "La14MgSc",
  "functional": "PBE",
  "state": "optimized geometry",
  "cell": [[-4.293, -1.437, 5.741], [4.532, -5.364, 2.035], [5.457, 6.805, 5.784]],
  "species": ["La", "La", "La", "Mg", "La", "Sc", "La", "La", "La", "La", "La", "La", "La", "La", "La", "La"],
  "frac_coords": [[0.375, 0.625, 0.500], [0.126, 0.376, 0.755], [0.127, 0.873, 0.755], [0.875, 0.125, 0.000], [0.375, 0.125, 0.000], [0.375, 0.625, 0.000], [0.375, 0.125, 0.500], [0.875, 0.125, 0.500], [0.624, 0.874, 0.755], [0.624, 0.874, 0.245], [0.127, 0.873, 0.245], [0.126, 0.376, 0.245], [0.623, 0.377, 0.245], [0.875, 0.625, 0.000], [0.875, 0.625, 0.500], [0.623, 0.377, 0.755]],
  "formation_enthalpy_0k_ev_per_fu": 0.06,
  "vol_a3_per_cell": 559
}

=====

9.
{
  "formula": "RhC2",
  "functional": "PBE",
  "state": "optimized geometry",
  "cell": [[2.768, 0.000, 0.000], [0.000, 4.325, 0.000], [0.000, 0.000, 4.929]],
  "species": ["C", "C", "Rh", "C", "Rh", "C"],
  "frac_coords": [[0.000, 0.862, 0.435], [0.500, 0.362, 0.065], [0.000, 0.000, 0.000], [0.000, 0.138, 0.565], [0.500, 0.500, 0.500], [0.500, 0.638, 0.935]],
  "formation_enthalpy_0k_ev_per_fu": 2.83,
  "vol_a3_per_cell": 59
}

=====

10.
{
  "formula": "Tb7Pr2Mg",
  "functional": "PBE",
  "state": "optimized geometry",
  "cell": [[-0.918, 5.127, -0.016], [-9.354, -1.678, -1.030], [4.729, 0.873, 8.262]],
  "species": ["Tb", "Pr", "Pr", "Tb", "Tb", "Tb", "Tb", "Tb", "Mg", "Tb"],
  "frac_coords": [[0.500, 0.925, 0.718], [0.500, 0.295, 0.705], [0.500, 0.705, 0.295], [0.000, 0.200, 0.800], [0.500, 0.075, 0.282], [0.500, 0.718, 0.925], [0.000, 0.800, 0.200], [0.500, 0.282, 0.075], [0.000, 0.000, 0.000], [0.500, 0.500, 0.500]],
  "formation_enthalpy_0k_ev_per_fu": 6.45,
  "vol_a3_per_cell": 383
}

=====

11.
{
  "formula": "CoRuCl2",
  "functional": "PBE",
  "state": "optimized geometry",
  "cell": [[-2.646, 1.086, -0.887], [-1.955, -5.359, -0.729], [-1.260, -0.044, 3.703]],
  "species": ["Cl", "Co", "Ru", "Cl"],
  "frac_coords": [[0.500, 0.500, 0.000], [0.500, 0.000, 0.500], [0.000, 0.500, 0.500], [0.000, 0.000, 0.000]],
  "formation_energy_uncorrected_mev_per_atom": 607,
  "vol_a3_per_cell": 67
}

=====

12.
{
  "formula": "CrAg2P",
  "functional": "PBE",
  "state": "optimized geometry",
  "cell": [[-2.683, -2.685, -5.489], [-3.843, -5.205, -1.636], [1.392, 5.404, 3.660]],
  "species": ["P", "Ag", "Cr", "Ag"],
  "frac_coords": [[0.250, 0.750, 0.500], [0.434, 0.434, 0.000], [0.750, 0.250, 0.500], [0.066, 0.066, 0.000]],
  "formation_enthalpy_0k_ev_per_fu": 0.61,
  "vol_a3_per_cell": 70
}